Pm8Nd4Sm3: relaxed, GGA-PBE.

Cell: 14.1171 12.3438 6.9049 Å, 90.00 119.10 90.00°
Last column: nearest neighbours and their distance in Å.
Space group C2/m (No. 12)
Inequivalent atoms, fractional coordinates:
Pm  0.0000  0.2016  0.0000 x4  4 Pm 3.51, 3 Nd 3.58-3.68, 2 Sm 3.59
Pm  0.0000  0.2507  0.5000 x4  1 Nd 3.08, 1 Sm 3.09
Pm  0.2005  0.0000  0.1995 x4  4 Pm 3.50-3.52, 3 Nd 3.58-3.69, 2 Sm 3.59
Pm  0.2490  0.5000  0.2519 x4  1 Nd 3.07, 1 Sm 3.10
Nd  0.0000  0.5000  0.0000 x2  2 Pm 3.07
Nd  0.0000  0.5000  0.5000 x2  2 Pm 3.08
Nd  0.2500  0.2500  0.0000 x4  2 Sm 3.45, 8 Pm 3.54-3.58
Sm  0.0000  0.0000  0.5000 x2  4 Pm 3.09-3.10
Sm  0.2500  0.2500  0.5000 x4  2 Nd 3.45, 8 Pm 3.53-3.59

Properties
The theoretical density is 6.912 Mg/m³. The calculation puts the energy above the most stable polymorph in this dataset at 187 meV/atom. The total magnetization is 0.6 μB/f.u. The value obtained for the calculated total energy is -66.59 eV/f.u.


ZnFe2Ni3: relaxed, GGA-PBE.

Cell: 2.5649 2.5649 10.5494 Å, 90.00 90.00 90.00°
Last column: nearest neighbours and their distance in Å.
Space group P4/mmm (No. 123)
Inequivalent atoms, fractional coordinates:
Zn  0.0000  0.0000  0.0000 x1  8 Ni 2.56, 4 Zn 2.56
Fe  0.0000  0.0000  0.3342 x2  8 Ni 2.50-2.52, 4 Fe 2.56
Ni  0.5000  0.5000  0.1710 x2  4 Fe 2.50, 4 Zn 2.56, 4 Ni 2.56
Ni  0.5000  0.5000  0.5000 x1  8 Fe 2.52, 4 Ni 2.56

Properties
The theoretical density is 8.450 Mg/m³. The total magnetization is 6.7 μB/f.u. The value obtained for the calculated total energy is -36.20 eV/f.u.